Tb2NdErTl4 GGA-PBE relaxed; raw total energy = -30.84 eV per formula unit; Fermi-level density of states = 7.0 states/eV per cell
1.0
2.703 1.561 8.861
-2.703 1.561 8.861
0.000 -3.121 8.861
Tb Nd Er Tl
2 1 1 4
Cartesian
0.000 0.000 6.625
0.000 0.000 19.957
0.000 0.000 0.000
0.000 0.000 13.291
0.000 0.000 3.366
0.000 0.000 10.016
0.000 0.000 16.566
0.000 0.000 23.216